(1)
VASP calculation (PBE) on an optimized crystal structure of PrEr2Pd9.

Properties
ΔE_f ... -0.842 eV/atom
V ... 213.5 Å³ per cell
M_tot ... 0.00 μB per cell
Symmetry ... P4/mmm, No. 123
E_tot ... -5.90 eV per atom
Crystal system ... tetragonal

abc: 4.1530 4.1530 12.3785
angles: 90.00 90.00 90.00
Closest atoms and distances in Å follow each position.
Atoms (fractional coordinates):
Pr 0.0000 0.0000 0.0000  12 Pd 2.94-2.99
Er 0.0000 0.0000 0.3378  12 Pd 2.89-2.94
Er 0.0000 0.0000 0.6622  12 Pd 2.89-2.94
Pd 0.5000 0.5000 0.0000  4 Pr 2.94, 8 Pd 2.99
Pd 0.5000 0.5000 0.3357  8 Pd 2.88-2.91, 4 Er 2.94
Pd 0.5000 0.5000 0.6643  8 Pd 2.88-2.91, 4 Er 2.94
Pd 0.5000 0.0000 0.1741  8 Pd 2.88-2.99, 2 Er 2.90, 2 Pr 2.99
Pd 0.5000 0.0000 0.5000  4 Er 2.89, 8 Pd 2.91-2.94
Pd 0.5000 0.0000 0.8259  8 Pd 2.88-2.99, 2 Er 2.90, 2 Pr 2.99
Pd 0.0000 0.5000 0.1741  8 Pd 2.88-2.99, 2 Er 2.90, 2 Pr 2.99
Pd 0.0000 0.5000 0.5000  4 Er 2.89, 8 Pd 2.91-2.94
Pd 0.0000 0.5000 0.8259  8 Pd 2.88-2.99, 2 Er 2.90, 2 Pr 2.99

(2)
VASP calculation (PBE) on an optimized crystal structure of PrErPdPt.

Properties
ΔE_f ... -0.961 eV/atom
V ... 90.2 Å³ per cell
M_tot ... 0.00 μB per cell
Symmetry ... F-43m, No. 216
E_tot ... -6.10 eV per atom
Crystal system ... cubic

abc: 5.0348 5.0348 5.0348
angles: 60.00 60.00 60.00
Closest atoms and distances in Å follow each position.
Atoms (fractional coordinates):
Pr 0.0000 0.0000 0.0000  4 Pd 3.08, 4 Pt 3.08
Pd 0.2500 0.2500 0.2500  4 Er 3.08, 4 Pr 3.08
Pt 0.7500 0.7500 0.7500  4 Pr 3.08, 4 Er 3.08
Er 0.5000 0.5000 0.5000  4 Pt 3.08, 4 Pd 3.08

(3)
VASP calculation (PBE) on an optimized crystal structure of PrErPdPt.

Properties
ΔE_f ... -1.031 eV/atom
V ... 93.5 Å³ per cell
M_tot ... 0.00 μB per cell
Symmetry ... Amm2, No. 38
E_tot ... -6.17 eV per atom
Crystal system ... orthorhombic

abc: 3.8257 4.5370 5.7180
angles: 90.00 109.54 90.00
Closest atoms and distances in Å follow each position.
Atoms (fractional coordinates):
Pr 0.1389 0.0000 0.2778  3 Pt 2.94-3.11, 4 Pd 3.02
Er 0.8650 0.5000 0.7299  4 Pt 3.01, 3 Pd 3.02-3.04
Pd 0.5846 0.5000 0.1692  2 Pt 2.94, 3 Er 3.02-3.04, 4 Pr 3.02
Pt 0.4115 0.0000 0.8230  2 Pd 2.94, 3 Pr 2.94-3.11, 4 Er 3.01